First-principles (PBE) data for crystalline TaCd2AuS at its relaxed geometry, as listed in the Alexandria database.

Values from the calculation:
Spin magnetization: 0.00 μB per formula unit
Space group: P4/mmm, No. 123
Crystal system: tetragonal
Total DFT energy (no corrections): -2.96 eV per atom

a b c (Å): 5.5050 5.0154 5.5050
angles (deg): 90.00 90.00 90.00
With the nearest neighbours (Å) after each atom.
Fractional positions:
S  0.5000  0.5000  0.5000  8 Cd 3.72, 4 Au 3.89
Au  0.0000  0.5000  0.0000  2 Ta 2.51
Cd  0.5000  0.0000  0.0000  2 Ta 2.75
Cd  0.0000  0.0000  0.5000  2 Ta 2.75
Ta  0.0000  0.0000  0.0000  2 Au 2.51, 4 Cd 2.75